First-principles (PBE-GGA) data for crystalline Zn2CuCl at its relaxed geometry, as listed in the Alexandria database.

The space group is R3m (No. 160, hexagonal axes) and the conventional cell measures 3.2742, 3.2742 and 21.9714 Å, with angles of 90.00, 90.00 and 120.00 degrees. The distinct sites, in fractional coordinates, are Zn at (0.0000, 0.0000, 0.0000), Zn at (0.0000, 0.0000, 0.2486), Cu at (0.0000, 0.0000, 0.7447) and Cl at (0.0000, 0.0000, 0.4892).

The volume comes out at 204.0 Å³/cell. The uncorrected energy is -26.009 eV/cell.